{"formula": "CeAsN", "functional": "GGA-PBE", "state": "optimized geometry", "magmom_total_mub_per_cell": 0.000, "formation_energy_uncorrected_ev_per_atom": -0.530, "crystal_system": "tetragonal", "dos_ef_per_ev_cell": 2.04, "polymorph_energy_mev_per_atom": 658, "lattice_angstrom": [[-1.595, 1.595, 5.873], [1.595, -1.595, 5.873], [1.595, 1.595, -5.873]], "species": ["Ce", "As", "N"], "frac_coords": [[0.000, 0.000, 0.000], [0.279, 0.279, 0.000], [0.547, 0.547, 0.000]]}